Compound: Li3CrO
Source: the Alexandria database
Functional: PBE with a Hubbard U
Structure: relaxed

The crystal system is cubic. The energy above the most stable polymorph in this dataset comes out at 1373 meV/atom. The value obtained for the total energy is -2.92 eV/atom.

The structure belongs to space group Pm-3m (No. 221); the cell edges are 4.8180, 4.8180 and 4.8180 Å and the angles 90.00°, 90.00° and 90.00°. The distinct sites, in fractional coordinates, are Li at (0.0000, 0.0000, 0.5000), Cr at (0.0000, 0.0000, 0.0000) and O at (0.5000, 0.5000, 0.5000).